A plane-wave DFT calculation with PBE-GGA was carried out for an optimized crystal structure of La6As2S3Cl.

Cell lengths 18.4785, 4.2438, 8.4872 Å; angles 90.00, 103.53, 90.00 degrees
Last column: nearest neighbours and their distance in Å.
Space group C2/m (No. 12)
One atom of each set of equivalent atoms:
La 0.0024 0.0000 0.2323 (multiplicity 4)  3 S 2.89-2.95, 1 As 2.99, 2 Cl 3.12
La 0.1664 0.5000 0.0864 (multiplicity 4)  3 S 2.99, 3 As 3.04-3.05
La 0.1725 0.5000 0.5812 (multiplicity 4)  3 S 2.89-2.97, 2 As 3.01, 1 Cl 3.10
As 0.1638 0.0000 0.8282 (multiplicity 4)  6 La 2.99-3.05
S 0.0000 0.5000 0.0000 (multiplicity 2)  6 La 2.89-2.99
S 0.1664 0.0000 0.3342 (multiplicity 4)  6 La 2.89-2.99
Cl 0.0000 0.5000 0.5000 (multiplicity 2)  6 La 3.10-3.12

**DOS(E_F)**: 11.263 states/eV per cell
**Total DFT energy (no corrections)**: -6.33 eV/atom
**M_tot**: 0.00 μB per formula unit

=====

A plane-wave DFT calculation with PBE-GGA was carried out for an optimized crystal structure of RuW5.

Cell lengths 7.3544, 7.3544, 7.3544 Å; angles 90.00, 90.00, 90.00 degrees
Last column: nearest neighbours and their distance in Å.
Space group F-43m (No. 216)
One atom of each set of equivalent atoms:
Ru 0.0000 0.0000 0.0000 (multiplicity 4)  16 W 3.05-3.18
W 0.1241 0.1241 0.3759 (multiplicity 16)  6 W 2.58-2.62
W 0.2500 0.2500 0.7500 (multiplicity 4)  12 W 3.05, 4 Ru 3.18

**DOS(E_F)**: 23.316 states/eV per cell
**M_tot**: 0.00 μB per formula unit
**Energy relative to the elements**: 44.6 kJ per mole of atoms
**Polymorph energy (0 for the lowest one)**: 350 meV per atom

=====

A plane-wave DFT calculation with PBE-GGA was carried out for an optimized crystal structure of Y2ZrTl.

Cell lengths 3.4990, 3.4990, 9.0505 Å; angles 90.00, 90.00, 90.00 degrees
Last column: nearest neighbours and their distance in Å.
Space group P4mm (No. 99)
One atom of each set of equivalent atoms:
Y 0.0000 0.0000 0.0000 (multiplicity 1)  4 Tl 3.28, 4 Y 3.50
Y 0.5000 0.5000 0.3023 (multiplicity 1)  4 Zr 3.31, 8 Y 3.50-3.69
Zr 0.0000 0.0000 0.5453 (multiplicity 1)  4 Tl 3.16, 4 Y 3.31, 4 Zr 3.50
Tl 0.5000 0.5000 0.7628 (multiplicity 1)  4 Zr 3.16, 4 Y 3.28, 4 Tl 3.50

**DOS(E_F)**: 3.913 states/eV per cell
**M_tot**: 0.00 μB per formula unit
**Energy relative to the elements**: -6.4 kJ per mole of atoms
**Polymorph energy (0 for the lowest one)**: 68 meV per atom

=====

Q: Which of these has the lowest DOS(E_F)?
A: Y2ZrTl